! PBE NdTeBr, optimized geometry; values from VASP
! SG	I-4m2 (119)
! uncorrected formation energy	-1.593	eV/atom
&SYSTEM
  ibrav = 0, nat = 6, ntyp = 3
/
ATOMIC_SPECIES
Te 127.60 Te.upf
Br 79.90 Br.upf
Nd 144.24 Nd.upf
CELL_PARAMETERS angstrom
4.223 0.000 -0.797
-0.151 4.220 -0.797
0.124 0.129 12.238
ATOMIC_POSITIONS crystal
Te 0.453 0.953 0.906
Te 0.047 0.547 0.094
Br 0.680 0.680 0.361
Br 0.320 0.320 0.639
Nd 0.594 0.094 0.187
Nd 0.906 0.406 0.813


! PBE Hg4RuSe, optimized geometry; values from VASP
! SG	F-43m (216)
! uncorrected formation energy	0.801	eV/atom
&SYSTEM
  ibrav = 0, nat = 6, ntyp = 3
/
ATOMIC_SPECIES
Hg 200.59 Hg.upf
Se 78.96 Se.upf
Ru 101.07 Ru.upf
CELL_PARAMETERS angstrom
0.000 4.056 4.056
4.056 0.000 4.056
4.056 4.056 0.000
ATOMIC_POSITIONS crystal
Hg 0.874 0.375 0.375
Hg 0.375 0.874 0.375
Se 0.000 0.000 0.000
Hg 0.375 0.375 0.375
Ru 0.750 0.750 0.750
Hg 0.375 0.375 0.874


! PBE LiHfTaN3, optimized geometry; values from VASP
! SG	P2_1/m (11)
! uncorrected formation energy	-1.050	eV/atom
&SYSTEM
  ibrav = 0, nat = 12, ntyp = 4
/
ATOMIC_SPECIES
N 14.01 N.upf
Hf 178.49 Hf.upf
Ta 180.95 Ta.upf
Li 6.94 Li.upf
CELL_PARAMETERS angstrom
-2.298 0.244 -2.026
1.669 -5.597 -2.568
-4.295 -1.820 4.651
ATOMIC_POSITIONS crystal
N 0.250 0.107 0.867
N 0.750 0.226 0.499
Hf 0.750 0.811 0.786
N 0.250 0.774 0.501
N 0.750 0.893 0.133
Ta 0.750 0.338 0.807
Ta 0.250 0.662 0.193
N 0.750 0.423 0.161
Hf 0.250 0.189 0.214
Li 0.250 0.080 0.581
Li 0.750 0.920 0.419
N 0.250 0.577 0.839


! PBE ReIrCl, optimized geometry; values from VASP
! SG	P3m1 (156)
! uncorrected formation energy	0.377	eV/atom
&SYSTEM
  ibrav = 0, nat = 3, ntyp = 3
/
ATOMIC_SPECIES
Re 186.21 Re.upf
Cl 35.45 Cl.upf
Ir 192.22 Ir.upf
CELL_PARAMETERS angstrom
2.877 0.000 0.000
-1.438 2.492 0.000
0.000 0.000 6.520
ATOMIC_POSITIONS crystal
Re 0.333 0.667 0.668
Cl 0.000 0.000 0.974
Ir 0.667 0.333 0.358


! PBE Ag3Hg12Bi5, optimized geometry; values from VASP
! ΔH_f (0 K)	0.213	eV/atom
! SG	Ia-3d (230)
&SYSTEM
  ibrav = 0, nat = 80, ntyp = 3
/
ATOMIC_SPECIES
Hg 200.59 Hg.upf
Bi 208.98 Bi.upf
Ag 107.87 Ag.upf
CELL_PARAMETERS angstrom
14.833 0.000 0.000
-4.944 13.985 0.000
-4.944 -6.992 12.111
ATOMIC_POSITIONS crystal
Hg 0.068 0.169 0.427
Bi 0.875 0.625 0.750
Ag 0.375 0.750 0.625
Hg 0.100 0.932 0.359
Bi 0.625 0.875 0.250
Hg 0.741 0.600 0.169
Hg 0.432 0.359 0.600
Hg 0.141 0.741 0.573
Hg 0.169 0.068 0.927
Hg 0.427 0.759 0.859
Bi 0.000 0.000 0.000
Bi 0.500 0.000 0.500
Ag 0.750 0.375 0.125
Hg 0.073 0.432 0.831
Ag 0.250 0.125 0.375
Bi 0.500 0.000 0.000
Hg 0.573 0.331 0.932
Hg 0.669 0.427 0.568
Bi 0.375 0.125 0.750
Hg 0.932 0.831 0.573
Hg 0.927 0.568 0.169
Hg 0.859 0.259 0.427
Hg 0.831 0.932 0.073
Hg 0.859 0.600 0.932
Bi 0.000 0.500 0.500
Ag 0.375 0.625 0.250
Ag 0.750 0.875 0.625
Hg 0.927 0.359 0.259
Hg 0.331 0.573 0.432
Bi 0.500 0.500 0.000
Hg 0.600 0.859 0.432
Hg 0.741 0.141 0.073
Hg 0.641 0.568 0.900
Ag 0.250 0.625 0.875
Hg 0.573 0.241 0.141
Hg 0.427 0.669 0.068
Hg 0.759 0.331 0.900
Hg 0.600 0.741 0.669
Hg 0.068 0.900 0.141
Hg 0.432 0.073 0.331
Hg 0.400 0.259 0.331
Ag 0.625 0.375 0.750
Hg 0.568 0.927 0.669
Bi 0.375 0.250 0.125
Hg 0.100 0.169 0.241
Hg 0.400 0.141 0.568
Ag 0.125 0.875 0.750
Hg 0.359 0.432 0.100
Hg 0.900 0.068 0.641
Ag 0.625 0.250 0.375
Bi 0.875 0.250 0.625
Hg 0.241 0.573 0.641
Bi 0.125 0.375 0.250
Hg 0.359 0.927 0.759
Bi 0.000 0.000 0.500
Hg 0.169 0.100 0.741
Hg 0.669 0.241 0.600
Bi 0.750 0.625 0.375
Hg 0.241 0.669 0.100
Bi 0.500 0.500 0.500
Bi 0.250 0.375 0.625
Bi 0.625 0.750 0.875
Bi 0.750 0.125 0.875
Hg 0.932 0.100 0.859
Bi 0.250 0.875 0.125
Hg 0.568 0.641 0.400
Hg 0.759 0.427 0.359
Ag 0.875 0.750 0.125
Hg 0.073 0.641 0.741
Hg 0.900 0.831 0.759
Hg 0.141 0.400 0.068
Hg 0.331 0.759 0.400
Hg 0.641 0.073 0.241
Hg 0.259 0.859 0.927
Ag 0.875 0.125 0.250
Bi 0.000 0.500 0.000
Ag 0.125 0.250 0.875
Hg 0.259 0.400 0.831
Bi 0.125 0.750 0.375
Hg 0.831 0.900 0.259


! PBE MgMn2Tc, optimized geometry; values from VASP
! ΔH_f (0 K)	0.286	eV/atom
! SG	Cmm2 (35)
&SYSTEM
  ibrav = 0, nat = 4, ntyp = 3
/
ATOMIC_SPECIES
Mg 24.30 Mg.upf
Mn 54.94 Mn.upf
Tc 98.00 Tc.upf
CELL_PARAMETERS angstrom
2.643 -0.002 0.000
-0.740 2.538 0.000
0.000 0.000 8.322
ATOMIC_POSITIONS crystal
Mg 0.500 0.500 0.756
Mn 0.000 0.000 0.029
Tc 0.000 0.000 0.474
Mn 0.500 0.500 0.241


no.,calculated total energy (eV per atom),density (g/cm3)
1,-4.787,5.34
2,-1.527,12.22
3,-9.166,10.74
4,-7.341,14.71
5,-1.366,9.98
6,-7.289,6.91